Crystalline Zr2Be at its relaxed geometry, computed with GGA-PBEsol.

Results
**Formation enthalpy at 0 K**: 0.0020 eV/atom
**Density of states at the Fermi level**: 0.873 states/eV per atom

Lattice parameters (Å, degrees): 5.8782 5.8782 6.2747 105.44 105.44 30.97
With the nearest neighbours (Å) after each atom.
Positions (direct):
Zr 0.1470 0.1470 0.0714  4 Be 2.76-2.77
Zr 0.1509 0.1509 0.5774  4 Be 2.73
Zr 0.8491 0.8491 0.4226  4 Be 2.73
Zr 0.8530 0.8530 0.9286  4 Be 2.76-2.77
Be 0.4985 0.4985 0.7410  8 Zr 2.73-2.77, 1 Be 3.03
Be 0.5015 0.5015 0.2590  8 Zr 2.73-2.77, 1 Be 3.03

Crystalline BiBr at its relaxed geometry, computed with GGA-PBEsol.

Results
**Calculated total energy**: -0.258 Ry per atom

Lattice parameters (Å, degrees): 7.1523 7.1523 10.3642 101.60 101.60 34.39
With the nearest neighbours (Å) after each atom.
Positions (direct):
Bi 0.1704 0.1704 0.4849  3 Bi 3.00-3.05
Bi 0.1756 0.1756 0.7803  4 Br 2.91, 1 Bi 3.05
Bi 0.8244 0.8244 0.2197  4 Br 2.91, 1 Bi 3.05
Bi 0.8296 0.8296 0.5151  3 Bi 3.00-3.05
Br 0.1772 0.1772 0.1413  2 Bi 2.91
Br 0.4728 0.4728 0.2826  2 Bi 2.91
Br 0.5272 0.5272 0.7174  2 Bi 2.91
Br 0.8228 0.8228 0.8587  2 Bi 2.91

Crystalline BiCBr3 at its relaxed geometry, computed with GGA-PBEsol.

Results
**Calculated total energy**: -0.225 Ry per atom
**Density of states at the Fermi level**: 0.640 states/eV per atom

Lattice parameters (Å, degrees): 4.7230 4.7230 4.7230 90.00 90.00 90.00
With the nearest neighbours (Å) after each atom.
Positions (direct):
Bi 0.0000 0.0000 0.0000  12 Br 3.34
C 0.5000 0.5000 0.5000  6 Br 2.36
Br 0.0000 0.5000 0.5000  2 C 2.36
Br 0.5000 0.0000 0.5000  2 C 2.36
Br 0.5000 0.5000 0.0000  2 C 2.36

Crystalline In2BiCBr at its relaxed geometry, computed with GGA-PBEsol.

Results
**Calculated total energy**: -0.244 Ry per atom
**Density of states at the Fermi level**: 0.373 states/eV per atom

Lattice parameters (Å, degrees): 6.1537 6.1537 4.3426 90.00 90.00 90.00
With the nearest neighbours (Å) after each atom.
Positions (direct):
In 0.0000 0.5000 0.0000  2 Bi 3.08
In 0.5000 0.0000 0.0000  2 Bi 3.08
Bi 0.0000 0.0000 0.0000  2 C 2.17
C 0.0000 0.0000 0.5000  2 Bi 2.17
Br 0.5000 0.5000 0.5000  8 In 3.77

Crystalline BiCS2Br at its relaxed geometry, computed with GGA-PBEsol.

Results
**Calculated total energy**: -0.296 Ry per atom
**Density of states at the Fermi level**: 0.606 states/eV per atom

Lattice parameters (Å, degrees): 4.1898 4.1898 5.1980 90.00 90.00 90.00
With the nearest neighbours (Å) after each atom.
Positions (direct):
Bi 0.0000 0.0000 0.0000  2 C 2.60
C 0.0000 0.0000 0.5000  4 S 2.09
S 0.0000 0.5000 0.5000  2 C 2.09
S 0.5000 0.0000 0.5000  2 C 2.09
Br 0.5000 0.5000 0.0000  4 Bi 2.96

Crystalline BiCSeBr2 at its relaxed geometry, computed with GGA-PBEsol.

Results
**Calculated total energy**: -0.258 Ry per atom
**Density of states at the Fermi level**: 0.519 states/eV per atom

Lattice parameters (Å, degrees): 4.6109 4.6109 4.7101 90.00 90.00 90.00
With the nearest neighbours (Å) after each atom.
Positions (direct):
Bi 0.0000 0.0000 0.0000  4 Se 3.26, 8 Br 3.30
C 0.5000 0.5000 0.5000  4 Br 2.31, 2 Se 2.36
Se 0.5000 0.5000 0.0000  2 C 2.36
Br 0.0000 0.5000 0.5000  2 C 2.31
Br 0.5000 0.0000 0.5000  2 C 2.31